Compound: CuNi2HRu
Source: Alexandria via LeMat-Bulk
Functional: PBE-GGA
Structure: relaxed

Computed properties:
ρ: 9.3 Mg/m³
energy: -5.50 eV per atom

a = 3.662 Å, b = 3.662 Å, c = 3.773 Å
α = 90.00°, β = 90.00°, γ = 90.00°
Space group P4/mmm (No. 123)
Symmetry-distinct sites (fractional):
1 Cu 0.000 0.000 0.000 (multiplicity 1)
2 Ni 0.000 0.500 0.500 (multiplicity 2)
3 H 0.500 0.500 0.500 (multiplicity 1)
4 Ru 0.500 0.500 0.000 (multiplicity 1)